1.
GGA-PBE Nb2AgOsS, relaxed; E_form (uncorrected) = 0.411 eV per atom; theoretical density = 9.41 g cm⁻³; total DFT energy (no corrections) = -7.259 eV/atom; D(E_F) = 1.100 states/eV per atom
1.0
4.574 0.000 0.000
0.000 4.352 0.000
0.000 0.000 4.574
S Nb Os Ag
1 2 1 1
Cartesian
0.000 0.000 0.000
2.287 0.000 0.000
0.000 0.000 2.287
0.000 2.176 0.000
2.287 2.176 2.287

---

2.
GGA-PBE ScNbAgOs, relaxed; theoretical density = 10.33 g cm⁻³; E_form = -0.098 eV/atom; total DFT energy (no corrections) = -7.718 eV/atom; D(E_F) = 0.888 states/eV per atom
1.0
4.627 0.000 0.000
2.314 4.007 0.000
2.314 1.336 3.778
Ag Nb Os Sc
1 1 1 1
Cartesian
0.000 0.000 0.000
6.941 4.007 2.834
4.627 2.672 1.889
2.314 1.336 0.945

---

3.
GGA-PBE Nb3AgP, relaxed; theoretical density = 6.99 g cm⁻³; E_form = 0.315 eV/atom; total DFT energy (no corrections) = -7.379 eV/atom; D(E_F) = 1.288 states/eV per atom
1.0
-0.841 -2.346 -3.902
-3.563 -2.130 2.049
-2.834 3.375 -1.419
Nb Ag P
3 1 1
Cartesian
-1.782 -1.065 1.024
-0.420 -1.173 -1.951
-1.417 1.687 -0.709
-3.619 -0.551 -1.636
0.000 0.000 0.000

---

4.
GGA-PBE NbAgP2, relaxed; theoretical density = 6.82 g cm⁻³; E_form = 0.135 eV/atom; total DFT energy (no corrections) = -5.800 eV/atom; D(E_F) = 1.003 states/eV per atom
1.0
-4.195 1.573 0.285
-1.450 3.072 -2.935
-3.035 -1.124 -3.111
Ag P Nb
1 2 1
Cartesian
-4.340 1.760 -2.881
-2.170 0.880 -1.440
-6.510 2.641 -4.321
0.000 0.000 0.000

---

5.
GGA-PBE Nb3AgP, relaxed; theoretical density = 5.89 g cm⁻³; E_form = 1.898 eV/atom; total DFT energy (no corrections) = -5.796 eV/atom; D(E_F) = 1.843 states/eV per atom
1.0
4.902 0.000 0.000
0.000 4.902 0.000
0.000 0.000 4.902
Nb Ag P
3 1 1
Cartesian
0.000 2.451 0.000
2.451 0.000 0.000
0.000 0.000 2.451
0.000 0.000 0.000
2.451 2.451 2.451

---

6.
GGA-PBE NbAgP2, relaxed; theoretical density = 4.74 g cm⁻³; E_form = 0.020 eV/atom; total DFT energy (no corrections) = -5.915 eV/atom; D(E_F) = 0.032 states/eV per atom
1.0
5.766 0.000 0.000
0.000 5.766 0.000
2.883 2.883 5.541
P Ag Nb
4 2 2
Cartesian
4.215 1.441 1.385
4.324 4.433 4.156
7.207 7.098 4.156
1.550 4.324 1.385
0.000 0.000 0.000
5.766 2.883 2.770
2.883 5.766 2.770
2.883 2.883 0.000